The following is a PBE calculation of a relaxed AcErTlIn crystal, from Alexandria via LeMat-Bulk.

a b c (Å): 5.5854 5.5854 5.5854
angles (deg): 60.00 60.00 60.00
With the nearest neighbours (Å) after each atom.
Sites, in units of the cell vectors:
Ac 0.7500 0.7500 0.7500  4 In 3.42, 4 Tl 3.42
In 0.5000 0.5000 0.5000  4 Er 3.42, 4 Ac 3.42
Tl 0.0000 0.0000 0.0000  4 Ac 3.42, 4 Er 3.42
Er 0.2500 0.2500 0.2500  4 Tl 3.42, 4 In 3.42

Results
The symmetry is F-43m, No. 216. The calculation puts the formation energy at -0.35 eV/atom. The total energy comes out at -3.791 eV per atom. The calculation puts the density of states at the Fermi level at 2.1 states/eV/f.u.

***

The following is a PBE calculation of a relaxed Ac3Er2Tl4In2 crystal, from Alexandria via LeMat-Bulk.

a b c (Å): 5.2024 5.2024 15.7767
angles (deg): 90.00 90.00 120.00
With the nearest neighbours (Å) after each atom.
Sites, in units of the cell vectors:
Ac 0.0000 0.0000 0.7330  3 Tl 3.43, 3 In 3.50
Ac 0.0000 0.0000 0.0000  6 Tl 3.44
Ac 0.0000 0.0000 0.2670  3 Tl 3.43, 3 In 3.50
Er 0.6667 0.3333 0.4356  4 Tl 3.04-3.17
Er 0.3333 0.6667 0.5644  4 Tl 3.04-3.17
Tl 0.6667 0.3333 0.1069  3 In 3.09, 3 Ac 3.44
Tl 0.3333 0.6667 0.8931  3 In 3.09, 3 Ac 3.44
Tl 0.6667 0.3333 0.6282  4 Er 3.04-3.17
Tl 0.3333 0.6667 0.3718  4 Er 3.04-3.17
In 0.6667 0.3333 0.8464  4 Tl 3.09-3.44
In 0.3333 0.6667 0.1536  4 Tl 3.09-3.44

Results
The symmetry is P-3m1, No. 164. The calculation puts the formation energy at -0.24 eV/atom. The total energy comes out at -3.548 eV per atom. The calculation puts the density of states at the Fermi level at 4.9 states/eV/f.u.

***

The following is a PBE calculation of a relaxed AcErTmIn crystal, from Alexandria via LeMat-Bulk.

a b c (Å): 5.5734 5.5734 5.5734
angles (deg): 60.00 60.00 60.00
With the nearest neighbours (Å) after each atom.
Sites, in units of the cell vectors:
Ac 0.7500 0.7500 0.7500  4 Er 3.41, 4 Tm 3.41
Tm 0.5000 0.5000 0.5000  4 Ac 3.41, 4 In 3.41
In 0.2500 0.2500 0.2500  4 Er 3.41, 4 Tm 3.41
Er 0.0000 0.0000 0.0000  4 In 3.41, 4 Ac 3.41

Results
The symmetry is F-43m, No. 216. The calculation puts the formation energy at 0.00 eV/atom. The total energy comes out at -3.971 eV per atom. The calculation puts the density of states at the Fermi level at 6.7 states/eV/f.u.

***

The following is a PBE calculation of a relaxed AcYErIn crystal, from Alexandria via LeMat-Bulk.

a b c (Å): 5.6037 5.6037 5.6037
angles (deg): 60.00 60.00 60.00
With the nearest neighbours (Å) after each atom.
Sites, in units of the cell vectors:
Y 0.5000 0.5000 0.5000  4 Ac 3.43, 4 In 3.43
Ac 0.7500 0.7500 0.7500  4 Er 3.43, 4 Y 3.43
In 0.2500 0.2500 0.2500  4 Y 3.43, 4 Er 3.43
Er 0.0000 0.0000 0.0000  4 In 3.43, 4 Ac 3.43

Results
The symmetry is F-43m, No. 216. The calculation puts the formation energy at -0.03 eV/atom. The total energy comes out at -4.497 eV per atom. The calculation puts the density of states at the Fermi level at 6.8 states/eV/f.u.

***

The following is a PBE calculation of a relaxed AcErZn2In2 crystal, from Alexandria via LeMat-Bulk.

a b c (Å): 4.7310 4.7310 7.8790
angles (deg): 90.00 90.00 120.00
With the nearest neighbours (Å) after each atom.
Sites, in units of the cell vectors:
Ac 0.0000 0.0000 0.0000  6 In 3.52, 6 Zn 3.65, 2 Er 3.94
Er 0.0000 0.0000 0.5000  6 Zn 3.12, 6 In 3.23
Zn 0.6667 0.3333 0.3078  3 In 2.74
Zn 0.3333 0.6667 0.6922  3 In 2.74
In 0.6667 0.3333 0.7186  3 Zn 2.74
In 0.3333 0.6667 0.2814  3 Zn 2.74

Results
The symmetry is P-3m1, No. 164. The calculation puts the formation energy at -0.43 eV/atom. The total energy comes out at -3.215 eV per atom. The calculation puts the density of states at the Fermi level at 3.7 states/eV/f.u.

***

The following is a PBE calculation of a relaxed Ac2ErZn3In4 crystal, from Alexandria via LeMat-Bulk.

a b c (Å): 4.6497 4.6497 12.2739
angles (deg): 90.00 90.00 90.00
With the nearest neighbours (Å) after each atom.
Sites, in units of the cell vectors:
Ac 0.5000 0.0000 0.2335  4 Zn 3.53, 8 In 3.57-3.69
Ac 0.0000 0.5000 0.7665  4 Zn 3.53, 8 In 3.57-3.69
Er 0.5000 0.5000 0.5000  4 In 2.99, 4 Zn 3.29
Zn 0.0000 0.0000 0.5000  4 In 2.99, 4 Er 3.29
Zn 0.5000 0.0000 0.8700  5 In 2.66-2.82
Zn 0.0000 0.5000 0.1300  5 In 2.66-2.82
In 0.5000 0.5000 0.0000  4 Zn 2.82
In 0.0000 0.0000 0.0000  4 Zn 2.82
In 0.5000 0.0000 0.6531  1 Zn 2.66
In 0.0000 0.5000 0.3469  1 Zn 2.66

Results
The symmetry is P-4m2, No. 115. The calculation puts the formation energy at -0.34 eV/atom. The total energy comes out at -3.097 eV per atom. The calculation puts the density of states at the Fermi level at 6.2 states/eV/f.u.

***

The following is a PBE calculation of a relaxed AcEr2Zn2In2 crystal, from Alexandria via LeMat-Bulk.

a b c (Å): 4.7785 4.7785 9.8551
angles (deg): 75.97 75.97 60.00
With the nearest neighbours (Å) after each atom.
Sites, in units of the cell vectors:
Ac 0.0000 0.0000 0.0000  6 In 3.53, 2 Er 3.76, 6 Zn 3.80
Er 0.1326 0.1326 0.6023  3 Zn 2.99, 3 In 3.17
Er 0.8674 0.8674 0.3977  3 Zn 2.99, 3 In 3.17
Zn 0.5745 0.5745 0.2765  3 In 2.79, 3 Er 2.99
Zn 0.4255 0.4255 0.7235  3 In 2.79, 3 Er 2.99
In 0.7444 0.7444 0.7668  3 Zn 2.79
In 0.2556 0.2556 0.2332  3 Zn 2.79

Results
The symmetry is R-3m, No. 166. The calculation puts the formation energy at -0.29 eV/atom. The total energy comes out at -3.323 eV per atom. The calculation puts the density of states at the Fermi level at 3.3 states/eV/f.u.

***

The following is a PBE calculation of a relaxed AcErIr crystal, from Alexandria via LeMat-Bulk.

a b c (Å): 5.0118 5.0118 5.0118
angles (deg): 60.00 60.00 60.00
With the nearest neighbours (Å) after each atom.
Sites, in units of the cell vectors:
Ac 0.0000 0.0000 0.0000  4 Ir 3.07
Ir 0.2500 0.2500 0.2500  4 Ac 3.07, 4 Er 3.07
Er 0.5000 0.5000 0.5000  4 Ir 3.07

Results
The symmetry is F-43m, No. 216. The calculation puts the formation energy at -0.52 eV/atom. The total energy comes out at -6.363 eV per atom. The calculation puts the density of states at the Fermi level at 3.4 states/eV/f.u. The calculation puts the energy above the most stable polymorph in this dataset at 119 meV per atom.

***

The following is a PBE calculation of a relaxed Ac3ErIr8 crystal, from Alexandria via LeMat-Bulk.

a b c (Å): 5.5177 5.5177 9.5533
angles (deg): 73.21 73.21 60.00
With the nearest neighbours (Å) after each atom.
Sites, in units of the cell vectors:
Ac 0.3753 0.3753 0.8742  12 Ir 3.24-3.29, 4 Ac 3.39
Ac 0.9987 0.9987 0.0038  12 Ir 3.24-3.32, 1 Er 3.37, 3 Ac 3.39
Ac 0.5009 0.5009 0.4974  12 Ir 3.16-3.23, 3 Er 3.36, 1 Ac 3.39
Er 0.8741 0.8741 0.3776  12 Ir 3.16-3.23, 4 Ac 3.36-3.37
Ir 0.9343 0.4360 0.1938  6 Ir 2.71-2.80
Ir 0.4421 0.9385 0.6808  6 Ir 2.73-2.80
Ir 0.4360 0.4360 0.1938  6 Ir 2.71-2.80
Ir 0.9385 0.9385 0.6808  6 Ir 2.73-2.80
Ir 0.1879 0.1879 0.4362  6 Ir 2.71-2.73
Ir 0.6876 0.6876 0.9371  6 Ir 2.80
Ir 0.4360 0.9343 0.1938  6 Ir 2.71-2.80
Ir 0.9385 0.4421 0.6808  6 Ir 2.73-2.80

Results
The symmetry is R3m, No. 160. The calculation puts the formation energy at -0.60 eV/atom. The total energy comes out at -7.914 eV per atom. The calculation puts the density of states at the Fermi level at 9.1 states/eV/f.u.

***

The following is a PBE calculation of a relaxed AcErIr crystal, from Alexandria via LeMat-Bulk.

a b c (Å): 3.6189 3.6189 7.0699
angles (deg): 104.83 104.83 90.00
With the nearest neighbours (Å) after each atom.
Sites, in units of the cell vectors:
Ac 0.0340 0.0340 0.0679  4 Ir 3.20, 1 Er 3.33
Ir 0.6794 0.6794 0.3588  4 Er 2.92, 4 Ac 3.20
Er 0.2866 0.2866 0.5733  4 Ir 2.92

Results
The symmetry is I4mm, No. 107. The calculation puts the formation energy at -0.44 eV/atom. The total energy comes out at -6.285 eV per atom. The calculation puts the density of states at the Fermi level at 3.4 states/eV/f.u. The calculation puts the energy above the most stable polymorph in this dataset at 197 meV per atom.

***

The following is a PBE calculation of a relaxed AcEr2Ir9 crystal, from Alexandria via LeMat-Bulk.

a b c (Å): 5.3781 5.3781 9.2746
angles (deg): 73.15 73.15 60.00
With the nearest neighbours (Å) after each atom.
Sites, in units of the cell vectors:
Ac 0.0000 0.0000 0.0000  18 Ir 3.11-3.47
Er 0.8597 0.8597 0.4210  12 Ir 3.07-3.25, 3 Er 3.40
Er 0.1403 0.1403 0.5790  12 Ir 3.07-3.25, 3 Er 3.40
Ir 0.6667 0.6667 0.9999  6 Ir 2.69
Ir 0.3333 0.3333 0.0001  6 Ir 2.69
Ir 0.5000 0.5000 0.5000  6 Ir 2.67
Ir 0.4157 0.4157 0.2514  7 Ir 2.67-2.70
Ir 0.9173 0.4157 0.2514  7 Ir 2.67-2.70
Ir 0.4157 0.9173 0.2514  7 Ir 2.67-2.70
Ir 0.5843 0.5843 0.7486  7 Ir 2.67-2.70
Ir 0.5843 0.0827 0.7486  7 Ir 2.67-2.70
Ir 0.0827 0.5843 0.7486  7 Ir 2.67-2.70

Results
The symmetry is R-3m, No. 166. The calculation puts the formation energy at -0.55 eV/atom. The total energy comes out at -8.297 eV per atom. The calculation puts the density of states at the Fermi level at 14.5 states/eV/f.u.

***

The following is a PBE calculation of a relaxed AcErIr crystal, from Alexandria via LeMat-Bulk.

a b c (Å): 7.2278 6.7036 8.0475
angles (deg): 94.80 90.00 90.00
With the nearest neighbours (Å) after each atom.
Sites, in units of the cell vectors:
Ac 0.4159 0.2358 0.8857  3 Ir 2.98-2.99
Ac 0.5841 0.7642 0.1143  3 Ir 2.98-2.99
Ac 0.9159 0.2642 0.6143  3 Ir 2.98-2.99
Ac 0.0841 0.7358 0.3857  3 Ir 2.98-2.99
Er 0.9200 0.2345 0.1146  3 Ir 2.77-2.80
Er 0.5800 0.7345 0.6146  3 Ir 2.77-2.80
Er 0.0800 0.7655 0.8854  3 Ir 2.77-2.80
Er 0.4200 0.2655 0.3854  3 Ir 2.77-2.80
Ir 0.2623 0.5095 0.6458  3 Er 2.77-2.80, 3 Ac 2.98-2.99
Ir 0.7377 0.4905 0.3542  3 Er 2.77-2.80, 3 Ac 2.98-2.99
Ir 0.2377 0.0095 0.1458  3 Er 2.77-2.80, 3 Ac 2.98-2.99
Ir 0.7623 0.9905 0.8542  3 Er 2.77-2.80, 3 Ac 2.98-2.99

Results
The symmetry is P2_1/c, No. 14. The calculation puts the formation energy at -0.60 eV/atom. The total energy comes out at -6.447 eV per atom. The calculation puts the density of states at the Fermi level at 1.7 states/eV/f.u. The calculation puts the energy above the most stable polymorph in this dataset at 35 meV per atom.